Entry 1:
CsRh PBE relaxed; energy = -30.5 eV for the cell shown; M_tot = 0.06 μB/atom; Fermi-level density of states = 2.056 states/eV per atom; space-group type = Pm-3n (223)
1.0
7.927 0.000 0.000
0.000 7.927 0.000
0.000 0.000 7.927
Cs Rh
6 6
direct
0.000 0.250 0.500
0.000 0.750 0.500
0.250 0.500 0.000
0.500 0.000 0.250
0.500 0.000 0.750
0.750 0.500 0.000
0.000 0.500 0.250
0.000 0.500 0.750
0.250 0.000 0.500
0.500 0.250 0.000
0.500 0.750 0.000
0.750 0.000 0.500



Entry 2:
Cu6AgPt5 PBE relaxed; energy = -58.9 eV for the cell shown; M_tot = 0.00 μB/atom; Fermi-level density of states = 0.997 states/eV per atom; space-group type = Cmmm (65)
1.0
1.978 -5.910 0.000
1.978 5.910 0.000
0.000 0.000 7.210
Cu Ag Pt
6 1 5
direct
0.000 0.000 0.248
0.000 0.000 0.752
0.332 0.668 0.248
0.332 0.668 0.752
0.668 0.332 0.248
0.668 0.332 0.752
0.500 0.500 0.500
0.166 0.834 0.000
0.168 0.832 0.500
0.500 0.500 0.000
0.832 0.168 0.500
0.834 0.166 0.000



Entry 3:
GdZn PBE relaxed; energy = -16.1 eV for the cell shown; M_tot = 3.72 μB/atom; Fermi-level density of states = 1.071 states/eV per atom; space-group type = Pm-3m (221)
1.0
3.605 0.000 0.000
0.000 3.605 0.000
0.000 0.000 3.605
Gd Zn
1 1
direct
0.000 0.000 0.000
0.500 0.500 0.500



Entry 4:
K4TaTe5 PBE relaxed; energy = -39.0 eV for the cell shown; M_tot = 0.09 μB/atom; Fermi-level density of states = 0.311 states/eV per atom; ΔE_f (raw) = -0.7079 eV/atom; space-group type = I4 (79)
1.0
-5.376 5.376 3.570
5.376 -5.376 3.570
5.376 5.376 -3.570
K Ta Te
4 1 5
direct
0.086 0.697 0.783
0.303 0.086 0.389
0.697 0.914 0.611
0.914 0.303 0.217
0.402 0.402 0.000
0.035 0.035 0.000
0.266 0.424 0.686
0.424 0.738 0.157
0.581 0.266 0.843
0.738 0.581 0.314



Entry 5:
TlVRhW2 PBE relaxed; energy = -29.8 eV for the cell shown; M_tot = 0.00 μB/atom; Fermi-level density of states = 1.537 states/eV per atom; space-group type = P4/mmm (123)
1.0
4.922 0.000 0.000
0.000 4.922 0.000
0.000 0.000 4.705
Tl V Rh W
1 1 1 2
direct
0.000 0.000 0.000
0.000 0.000 0.500
0.500 0.500 0.500
0.000 0.500 0.000
0.500 0.000 0.000



Entry 6:
BaLiRh PBE relaxed; energy = -11.1 eV for the cell shown; M_tot = 0.00 μB/atom; Fermi-level density of states = 0.537 states/eV per atom; space-group type = Imm2 (44)
1.0
-1.818 1.824 5.264
1.818 -1.824 5.264
1.818 1.824 -5.264
Ba Li Rh
1 1 1
direct
0.000 0.000 0.000
0.728 0.728 0.000
0.304 0.304 0.000



Entry 7:
Hf2ZrBi PBE relaxed; energy = -32.8 eV for the cell shown; M_tot = 0.00 μB/atom; Fermi-level density of states = 1.514 states/eV per atom; space-group type = P4/mmm (123)
1.0
3.761 0.000 0.000
0.000 3.761 0.000
0.000 0.000 6.526
Hf Zr Bi
2 1 1
direct
0.000 0.000 0.248
0.000 0.000 0.752
0.500 0.500 0.000
0.500 0.500 0.500



Entry 8:
Cd2In2Pb7 PBE relaxed; energy = -32.7 eV for the cell shown; M_tot = 0.00 μB/atom; Fermi-level density of states = 0.342 states/eV per atom; space-group type = C2/m (12)
1.0
3.733 -5.015 0.000
3.733 5.015 0.000
-3.527 0.000 8.835
Cd In Pb
2 2 7
direct
0.049 0.049 0.275
0.951 0.951 0.725
0.206 0.794 0.000
0.794 0.206 0.000
0.039 0.434 0.662
0.370 0.370 0.114
0.434 0.039 0.662
0.500 0.500 0.500
0.566 0.961 0.338
0.630 0.630 0.886
0.961 0.566 0.338